Record 1
K15Pb: relaxed, PBE-GGA.

The formation energy from the elements comes out at 1.2 kJ per mole of atoms.

The structure belongs to space group P-6m2 (No. 187); the cell edges are 9.0972, 9.0972 and 14.4492 Å and the angles 90.00°, 90.00° and 120.00°. The inequivalent atoms are K at (0.0000, 0.0000, 0.0000), K at (0.0119, 0.5060, 0.5000), K at (0.3112, 0.1556, 0.2789), K at (0.3333, 0.6667, 0.2372), K at (0.5060, 0.0119, 0.0000) and Pb at (0.0000, 0.0000, 0.5000).

Record 2
PCS2F: relaxed, PBE-GGA.

As for the distance to the lowest polymorph of the same formula: 0 meV/atom. The calculation puts the uncorrected formation energy at 1.111 eV/atom.

The structure belongs to space group P4/mmm (No. 123); the cell edges are 4.066, 4.066 and 4.110 Å and the angles 90.00°, 90.00° and 90.00°. The inequivalent atoms are P at (0.000, 0.000, 0.000), C at (0.000, 0.000, 0.500), S at (0.000, 0.500, 0.500) and F at (0.500, 0.500, 0.000).

Record 3
TcH2IO: relaxed, PBE-GGA.

The calculation puts the total energy at -21.458 eV per cell.

The structure belongs to space group P4/mmm (No. 123); the cell edges are 4.138, 4.138 and 3.753 Å and the angles 90.00°, 90.00° and 90.00°. The inequivalent atoms are Tc at (0.000, 0.000, 0.000), H at (0.000, 0.500, 0.000), I at (0.500, 0.500, 0.500) and O at (0.000, 0.000, 0.500).

Record 4
SiMoRu2: relaxed, PBE-GGA.

The calculation puts the uncorrected formation energy at -0.112 eV/atom.

The structure belongs to space group C2/m (No. 12); the cell edges are 8.474, 2.794 and 4.817 Å and the angles 90.00°, 96.84° and 90.00°. The inequivalent atoms are Si at (0.000, 0.000, 0.000), Mo at (0.000, 0.500, 0.500) and Ru at (0.246, 0.500, 0.237).

Record 5
LiGe6Se8: relaxed, PBE-GGA.

The calculation puts the uncorrected formation energy at -0.169 eV/atom.

The structure belongs to space group R-3 (No. 148, hexagonal axes); the cell edges are 11.2800, 11.2800 and 11.9029 Å and the angles 90.00°, 90.00° and 120.00°. The inequivalent atoms are Li at (0.0000, 0.0000, 0.0000), Ge at (0.0217, 0.1902, 0.3596), Se at (0.0000, 0.0000, 0.2152) and Se at (0.0086, 0.2763, 0.5936).

Record 6
PrScPa2Sb4: relaxed, PBE-GGA.

The calculation puts the uncorrected formation energy at -0.713 eV/atom.

The structure belongs to space group P2/m (No. 10); the cell edges are 7.567, 4.370 and 7.597 Å and the angles 90.00°, 109.39° and 90.00°. The inequivalent atoms are Pr at (0.000, 0.000, 0.000), Sc at (0.500, 0.500, 0.000), Pa at (0.000, 0.500, 0.500), Pa at (0.500, 0.000, 0.500), Sb at (0.262, 0.500, 0.252) and Sb at (0.263, 0.000, 0.757).